VASP calculation (PBE) on crystalline Sr2BeRh at its relaxed geometry.

## Properties
The crystal system is tetragonal. The value obtained for the density of states at the Fermi level is 0.528 states/eV/atom. As for the density: 5.01 g cm⁻³. The calculation puts the final energy at -3.247 eV per atom.

CIF file:
```
data_Sr2BeRh
_chemical_formula_sum 'Sr4 Be2 Rh2'
_cell_length_a 4.526
_cell_length_b 4.526
_cell_length_c 9.289
_cell_angle_alpha 90.00
_cell_angle_beta 90.00
_cell_angle_gamma 90.00
_symmetry_space_group_name_H-M 'I -4 m 2'
_symmetry_Int_Tables_number 119
_symmetry_space_group_name_Hall 'I -4 -2'
loop_
_atom_site_label
_atom_site_type_symbol
_atom_site_fract_x
_atom_site_fract_y
_atom_site_fract_z
Sr1 Sr 0.000 0.000 0.000
Sr2 Sr 0.000 0.500 0.250
Be1 Be 0.000 0.500 0.750
Rh1 Rh 0.000 0.000 0.500
```